## Sn2TeP (PBE)

Data for an optimized crystal structure of Sn2TeP.

Calculated values
The value obtained for the energy above the most stable polymorph in this dataset is 28 meV/atom. As for the total magnetic moment: 0.0 μB per cell. Its space-group type is No. 160. The calculation puts the uncorrected formation energy at -0.06 eV per atom.

Lattice parameters (Å, degrees): 4.082 4.082 7.869 74.97 74.97 60.00
Atoms (fractional coordinates):
P  0.665  0.665  0.004
Sn  0.074  0.074  0.777
Sn  0.267  0.267  0.198
Te  0.493  0.493  0.522

---

## Sn2TeP2 (PBE)

Data for an optimized crystal structure of Sn2TeP2.

Calculated values
The value obtained for the energy above the most stable polymorph in this dataset is 0 meV/atom. As for the total magnetic moment: 0.0 μB per cell. Its space-group type is No. 139. The calculation puts the uncorrected formation energy at 0.16 eV per atom.

Lattice parameters (Å, degrees): 3.893 3.893 8.455 76.69 76.69 90.00
Atoms (fractional coordinates):
P  0.250  0.750  0.500
P  0.750  0.250  0.500
Sn  0.615  0.615  0.770
Sn  0.385  0.385  0.230
Te  0.000  0.000  0.000

---

## Sn5Te4P (PBE)

Data for an optimized crystal structure of Sn5Te4P.

Calculated values
As for the total magnetic moment: 0.0 μB per cell. Its space-group type is No. 1. The calculation puts the uncorrected formation energy at -0.19 eV per atom.

Lattice parameters (Å, degrees): 4.350 4.519 16.037 98.32 97.94 89.74
Atoms (fractional coordinates):
Te  0.598  0.583  0.198
Te  0.802  0.789  0.604
Te  0.399  0.384  0.801
Te  0.197  0.184  0.396
Sn  0.913  0.918  0.827
Sn  0.503  0.588  0.000
Sn  0.702  0.696  0.404
Sn  0.300  0.294  0.595
Sn  0.088  0.094  0.173
P  0.999  0.970  0.000

---

## SnTe3P (PBE)

Data for an optimized crystal structure of SnTe3P.

Calculated values
The value obtained for the energy above the most stable polymorph in this dataset is 724 meV/atom. As for the total magnetic moment: 1.6 μB per cell. Its space-group type is No. 221. The calculation puts the uncorrected formation energy at 1.01 eV per atom.

Lattice parameters (Å, degrees): 5.722 5.722 5.722 90.00 90.00 90.00
Atoms (fractional coordinates):
Te  0.000  0.000  0.500
Te  0.000  0.500  0.000
Te  0.500  0.000  0.000
P  0.500  0.500  0.500
Sn  0.000  0.000  0.000

---

## SnTeP2 (PBE)

Data for an optimized crystal structure of SnTeP2.

Calculated values
The value obtained for the energy above the most stable polymorph in this dataset is 0 meV/atom. As for the total magnetic moment: 0.0 μB per cell. Its space-group type is No. 122. The calculation puts the uncorrected formation energy at 0.35 eV per atom.

Lattice parameters (Å, degrees): 6.954 6.954 6.553 57.95 57.95 90.00
Atoms (fractional coordinates):
Sn  0.250  0.750  0.500
Sn  0.500  0.500  0.000
P  0.375  0.394  0.750
P  0.606  0.125  0.250
P  0.875  0.856  0.750
P  0.144  0.625  0.250
Te  0.000  0.000  0.000
Te  0.750  0.250  0.500

---

## SnTe3P (PBE)

Data for an optimized crystal structure of SnTe3P.

Calculated values
The value obtained for the energy above the most stable polymorph in this dataset is 0 meV/atom. As for the total magnetic moment: 0.0 μB per cell. Its space-group type is No. 221. The calculation puts the uncorrected formation energy at 0.28 eV per atom.

Lattice parameters (Å, degrees): 5.293 5.293 5.293 90.00 90.00 90.00
Atoms (fractional coordinates):
Te  0.000  0.500  0.000
Te  0.500  0.000  0.000
Te  0.000  0.000  0.500
P  0.000  0.000  0.000
Sn  0.500  0.500  0.500

---

## Th8SnTe4P3 (PBE)

Data for an optimized crystal structure of Th8SnTe4P3.

Calculated values
As for the total magnetic moment: 0.0 μB per cell. Its space-group type is No. 166. The calculation puts the uncorrected formation energy at -1.21 eV per atom.

Lattice parameters (Å, degrees): 8.561 8.922 8.561 118.67 120.00 90.00
Atoms (fractional coordinates):
Te  0.000  0.000  0.500
Te  0.500  0.000  0.500
Te  0.500  0.000  0.000
Te  0.000  0.000  0.000
P  0.000  0.500  0.500
P  0.500  0.500  0.000
P  0.500  0.500  0.500
Th  0.265  0.294  0.529
Th  0.735  0.706  0.471
Th  0.751  0.286  0.035
Th  0.717  0.714  0.965
Th  0.249  0.714  0.497
Th  0.751  0.286  0.503
Th  0.249  0.714  0.965
Th  0.283  0.286  0.035
Sn  0.000  0.500  0.000

---

## Tm6SnTe3P2 (PBE)

Data for an optimized crystal structure of Tm6SnTe3P2.

Calculated values
As for the total magnetic moment: 0.0 μB per cell. Its space-group type is No. 12. The calculation puts the uncorrected formation energy at -1.31 eV per atom.

Lattice parameters (Å, degrees): 4.144 8.523 9.443 104.15 102.68 90.00
Atoms (fractional coordinates):
P  0.169  0.340  0.338
P  0.831  0.660  0.662
Sn  0.500  0.000  0.000
Tm  0.323  0.436  0.646
Tm  0.987  0.749  0.974
Tm  0.013  0.251  0.026
Tm  0.677  0.564  0.354
Tm  0.333  0.883  0.666
Tm  0.667  0.117  0.334
Te  0.500  0.500  0.000
Te  0.164  0.833  0.328
Te  0.836  0.167  0.672

---

## SnTePW2 (PBE)

Data for an optimized crystal structure of SnTePW2.

Calculated values
As for the total magnetic moment: 3.3 μB per cell. Its space-group type is No. 123. The calculation puts the uncorrected formation energy at 2.18 eV per atom.

Lattice parameters (Å, degrees): 5.062 5.005 5.062 90.00 90.00 90.00
Atoms (fractional coordinates):
W  0.000  0.000  0.500
W  0.500  0.000  0.000
P  0.000  0.500  0.000
Te  0.000  0.000  0.000
Sn  0.500  0.500  0.500

---

## Y6SnTe3P2 (PBE)

Data for an optimized crystal structure of Y6SnTe3P2.

Calculated values
As for the total magnetic moment: 0.0 μB per cell. Its space-group type is No. 12. The calculation puts the uncorrected formation energy at -1.39 eV per atom.

Lattice parameters (Å, degrees): 4.207 8.645 9.583 104.24 102.68 90.00
Atoms (fractional coordinates):
Y  0.677  0.564  0.353
Y  0.333  0.885  0.666
Y  0.323  0.436  0.647
Y  0.667  0.115  0.334
Y  0.012  0.251  0.025
Y  0.988  0.749  0.975
P  0.831  0.662  0.662
P  0.169  0.338  0.338
Te  0.836  0.168  0.672
Te  0.164  0.832  0.328
Te  0.500  0.500  0.000
Sn  0.500  0.000  0.000

---

## Th2SnP (PBE)

Data for an optimized crystal structure of Th2SnP.

Calculated values
The value obtained for the energy above the most stable polymorph in this dataset is 0 meV/atom. As for the calculated formation energy: -0.964 eV per atom. As for the total magnetic moment: 0.0 μB per cell. Its space-group type is No. 166.

Lattice parameters (Å, degrees): 4.312 4.312 7.585 73.48 73.48 60.00
Atoms (fractional coordinates):
Th  0.259  0.259  0.223
Th  0.741  0.741  0.777
P  0.000  0.000  0.000
Sn  0.500  0.500  0.500

---

## Th2SnP (PBE)

Data for an optimized crystal structure of Th2SnP.

Calculated values
The value obtained for the energy above the most stable polymorph in this dataset is 54 meV/atom. As for the calculated formation energy: -0.910 eV per atom. As for the total magnetic moment: 0.0 μB per cell. Its space-group type is No. 160.

Lattice parameters (Å, degrees): 4.017 4.017 8.523 76.37 76.37 60.00
Atoms (fractional coordinates):
Th  0.265  0.265  0.205
Th  0.068  0.068  0.795
Sn  0.499  0.499  0.502
P  0.667  0.667  0.998